This record from the Alexandria database describes LiDyBeHg after structural relaxation. The functional is GGA-PBE.

It has space group F-43m (No. 216), with a = 6.524 Å, b = 6.524 Å, c = 6.524 Å, α = 90.00°, β = 90.00° and γ = 90.00°. The inequivalent atoms are Li at (0.000, 0.000, 0.000), Dy at (0.250, 0.250, 0.250), Be at (0.000, 0.000, 0.500) and Hg at (0.250, 0.250, 0.750).

For the energy of formation, the calculation gives -12.8 kJ/mol of atoms.